#i
Material: Dy2Y3Tm5
Method: DFT, GGA-PBE
State: optimized geometry

a = 10.9792 Å, b = 10.9792 Å, c = 10.9792 Å
α = 109.33°, β = 80.20°, γ = 147.05°
Closest atoms and distances in Å follow each position.
Positions (direct):
Dy: 0.1567 0.1045 0.2612  1 Tm 3.15, 5 Y 3.33-3.53
Dy: 0.3433 0.6045 0.9478  1 Tm 3.15, 5 Y 3.33-3.53
Dy: 0.6567 0.3955 0.0522  1 Tm 3.15, 5 Y 3.33-3.53
Dy: 0.8433 0.8955 0.7388  1 Tm 3.15, 5 Y 3.33-3.53
Y: 0.2469 0.8436 0.0905  4 Dy 3.44-3.64, 4 Tm 3.46-3.63
Y: 0.2500 0.2500 0.0000  2 Y 3.11, 2 Tm 3.21, 4 Dy 3.33
Y: 0.2531 0.3436 0.5966  4 Dy 3.44-3.64, 4 Tm 3.46-3.63
Y: 0.7469 0.6564 0.4034  4 Dy 3.44-3.64, 4 Tm 3.46-3.63
Y: 0.7500 0.7500 0.0000  2 Y 3.11, 2 Tm 3.21, 4 Dy 3.33
Y: 0.7531 0.1564 0.9095  4 Dy 3.44-3.64, 4 Tm 3.46-3.63
Tm: 0.1559 0.5990 0.7548  1 Dy 3.15, 2 Tm 3.29, 1 Y 3.46
Tm: 0.2500 0.5024 0.2524  3 Tm 3.11-3.14, 1 Y 3.21
Tm: 0.2500 0.7500 0.5000  8 Tm 3.11-3.29
Tm: 0.2500 0.9976 0.7476  3 Tm 3.11-3.14, 1 Y 3.21
Tm: 0.3441 0.0990 0.4431  1 Dy 3.15, 2 Tm 3.29, 1 Y 3.46
Tm: 0.6559 0.9010 0.5569  1 Dy 3.15, 2 Tm 3.29, 1 Y 3.46
Tm: 0.7500 0.0024 0.2524  3 Tm 3.11-3.14, 1 Y 3.21
Tm: 0.7500 0.2500 0.5000  8 Tm 3.11-3.29
Tm: 0.7500 0.4976 0.7476  3 Tm 3.11-3.14, 1 Y 3.21
Tm: 0.8441 0.4010 0.2452  1 Dy 3.15, 2 Tm 3.29, 1 Y 3.46

Output
* DOS at the Fermi energy: 30.784 states/eV per cell
* space group: Ibam (72)
* calculated volume: 664 Å³/cell
* crystal system: orthorhombic

=====

#ii
Material: Dy2Y3Tm5
Method: DFT, GGA-PBE
State: optimized geometry

a = 9.4156 Å, b = 9.4156 Å, c = 9.4177 Å
α = 108.30°, β = 108.30°, γ = 111.71°
Closest atoms and distances in Å follow each position.
Positions (direct):
Dy: 0.0251 0.2661 0.0490  2 Y 3.16-3.28, 5 Tm 3.26-3.49
Dy: 0.2661 0.0251 0.5490  2 Y 3.16-3.28, 5 Tm 3.26-3.49
Dy: 0.7339 0.9749 0.4510  2 Y 3.16-3.28, 5 Tm 3.26-3.49
Dy: 0.9749 0.7339 0.9510  2 Y 3.16-3.28, 5 Tm 3.26-3.49
Y: 0.2271 0.4677 0.4535  1 Dy 3.16, 6 Tm 3.28-3.50
Y: 0.2685 0.7315 0.2500  1 Tm 3.15, 2 Dy 3.28
Y: 0.4677 0.2271 0.9535  1 Dy 3.16, 6 Tm 3.28-3.50
Y: 0.5323 0.7729 0.0465  1 Dy 3.16, 6 Tm 3.28-3.50
Y: 0.7315 0.2685 0.7500  1 Tm 3.15, 2 Dy 3.28
Y: 0.7729 0.5323 0.5465  1 Dy 3.16, 6 Tm 3.28-3.50
Tm: 0.0256 0.9744 0.7500  3 Tm 3.19-3.42, 4 Dy 3.26-3.38, 2 Y 3.39
Tm: 0.1443 0.3704 0.7635  3 Tm 3.42-3.59, 3 Y 3.48-3.59, 2 Dy 3.49-3.58
Tm: 0.2302 0.7698 0.7500  1 Tm 3.19, 4 Y 3.28-3.50, 2 Dy 3.48
Tm: 0.3704 0.1443 0.2635  3 Tm 3.42-3.59, 3 Y 3.48-3.59, 2 Dy 3.49-3.58
Tm: 0.4706 0.5294 0.2500  5 Y 3.15-3.43, 2 Dy 3.42, 2 Tm 3.45
Tm: 0.5294 0.4706 0.7500  5 Y 3.15-3.43, 2 Dy 3.42, 2 Tm 3.45
Tm: 0.6296 0.8557 0.7365  3 Tm 3.42-3.59, 3 Y 3.48-3.59, 2 Dy 3.49-3.58
Tm: 0.7698 0.2302 0.2500  1 Tm 3.19, 4 Y 3.28-3.50, 2 Dy 3.48
Tm: 0.8557 0.6296 0.2365  3 Tm 3.42-3.59, 3 Y 3.48-3.59, 2 Dy 3.49-3.58
Tm: 0.9744 0.0256 0.2500  3 Tm 3.19-3.42, 4 Dy 3.26-3.38, 2 Y 3.39

Output
* DOS at the Fermi energy: 33.958 states/eV per cell
* space group: C2/c (15)
* calculated volume: 643 Å³/cell
* crystal system: monoclinic

=====

Which of them is most stable? Easy: #ii.

=====

#i
Material: Dy7Y3Tm
Method: DFT, GGA-PBE
State: optimized geometry

a = 7.0307 Å, b = 7.0307 Å, c = 8.5969 Å
α = 90.00°, β = 90.00°, γ = 120.00°
Closest atoms and distances in Å follow each position.
Positions (direct):
Dy: 0.0000 0.0000 0.0000  9 Dy 3.45-3.52, 3 Y 3.56
Dy: 0.1653 0.3307 0.6736  7 Dy 3.45-3.54, 2 Y 3.51, 2 Tm 3.52
Dy: 0.1653 0.8347 0.6736  7 Dy 3.45-3.54, 2 Y 3.51, 2 Tm 3.52
Dy: 0.5013 0.0026 0.0038  1 Tm 3.45, 8 Dy 3.49-3.54, 2 Y 3.52
Dy: 0.5013 0.4987 0.0038  1 Tm 3.45, 8 Dy 3.49-3.54, 2 Y 3.52
Dy: 0.6693 0.8347 0.6736  7 Dy 3.45-3.54, 2 Y 3.51, 2 Tm 3.52
Dy: 0.9974 0.4987 0.0038  1 Tm 3.45, 8 Dy 3.49-3.54, 2 Y 3.52
Y: 0.3337 0.1668 0.3394  4 Y 3.51-3.52, 5 Dy 3.51-3.56, 1 Tm 3.54
Y: 0.8332 0.1668 0.3394  4 Y 3.51-3.52, 5 Dy 3.51-3.56, 1 Tm 3.54
Y: 0.8332 0.6663 0.3394  4 Y 3.51-3.52, 5 Dy 3.51-3.56, 1 Tm 3.54
Tm: 0.6667 0.3333 0.6774  9 Dy 3.45-3.52, 3 Y 3.54

Output
* DOS at the Fermi energy: 17.626 states/eV per cell
* space group: P3m1 (156)
* calculated volume: 368 Å³/cell
* crystal system: trigonal

=====

#ii
Material: Dy7Y3Tm
Method: DFT, GGA-PBE
State: optimized geometry

a = 6.9933 Å, b = 5.5156 Å, c = 9.8521 Å
α = 90.00°, β = 110.20°, γ = 90.00°
Closest atoms and distances in Å follow each position.
Positions (direct):
Dy: 0.0000 0.0000 0.0000  4 Y 3.38
Dy: 0.1477 0.5000 0.2927  3 Dy 3.22-3.57, 2 Y 3.33-3.35
Dy: 0.3224 0.5000 0.6404  5 Dy 3.22-3.57, 2 Tm 3.50, 2 Y 3.53
Dy: 0.4191 0.0000 0.8296  3 Dy 3.15-3.27, 1 Tm 3.48, 2 Y 3.53
Dy: 0.5809 0.0000 0.1704  3 Dy 3.15-3.27, 1 Tm 3.48, 2 Y 3.53
Dy: 0.6776 0.5000 0.3596  5 Dy 3.22-3.57, 2 Tm 3.50, 2 Y 3.53
Dy: 0.8523 0.5000 0.7073  3 Dy 3.22-3.57, 2 Y 3.33-3.35
Y: 0.0000 0.0000 0.5000  2 Tm 3.50, 10 Dy 3.53-3.78
Y: 0.2786 0.5000 0.9979  1 Y 3.08, 4 Dy 3.33-3.38
Y: 0.7214 0.5000 0.0021  1 Y 3.08, 4 Dy 3.33-3.38
Tm: 0.5000 0.0000 0.5000  10 Dy 3.48-3.79, 2 Y 3.50

Output
* DOS at the Fermi energy: 18.201 states/eV per cell
* space group: P2/m (10)
* calculated volume: 357 Å³/cell
* crystal system: monoclinic

=====

Which of them is most stable? Easy: #ii.

=====

#i
Material: Dy2YTm
Method: DFT, GGA-PBE
State: optimized geometry

a = 3.5350 Å, b = 3.5350 Å, c = 10.0089 Å
α = 90.00°, β = 90.00°, γ = 90.00°
Closest atoms and distances in Å follow each position.
Positions (direct):
Dy: 0.0000 0.0000 0.2468  4 Tm 3.51, 4 Dy 3.53, 4 Y 3.56
Dy: 0.0000 0.0000 0.7532  4 Tm 3.51, 4 Dy 3.53, 4 Y 3.56
Y: 0.5000 0.5000 0.5000  4 Y 3.53, 8 Dy 3.56
Tm: 0.5000 0.5000 0.0000  8 Dy 3.51, 4 Tm 3.53

Output
* DOS at the Fermi energy: 5.283 states/eV per cell
* space group: P4/mmm (123)
* calculated volume: 125 Å³/cell
* crystal system: tetragonal

=====

#ii
Material: Dy2YTm
Method: DFT, GGA-PBE
State: optimized geometry

a = 6.9226 Å, b = 6.9107 Å, c = 10.9485 Å
α = 90.00°, β = 90.03°, γ = 90.00°
Closest atoms and distances in Å follow each position.
Positions (direct):
Dy: 0.1238 0.1258 0.3880  4 Y 3.45-3.48, 3 Tm 3.45-3.46, 3 Dy 3.46-3.47
Dy: 0.1238 0.8742 0.8880  4 Y 3.45-3.48, 3 Tm 3.45-3.46, 3 Dy 3.46-3.47
Dy: 0.3744 0.3758 0.6125  3 Y 3.45-3.48, 4 Tm 3.45-3.47, 3 Dy 3.47
Dy: 0.3744 0.6242 0.1125  3 Y 3.45-3.48, 4 Tm 3.45-3.47, 3 Dy 3.47
Dy: 0.6256 0.3758 0.8875  3 Y 3.45-3.48, 4 Tm 3.45-3.47, 3 Dy 3.47
Dy: 0.6256 0.6242 0.3875  3 Y 3.45-3.48, 4 Tm 3.45-3.47, 3 Dy 3.47
Dy: 0.8762 0.1258 0.1120  4 Y 3.45-3.48, 3 Tm 3.45-3.46, 3 Dy 3.46-3.47
Dy: 0.8762 0.8742 0.6120  4 Y 3.45-3.48, 3 Tm 3.45-3.46, 3 Dy 3.46-3.47
Y: 0.3741 0.1251 0.1131  7 Dy 3.45-3.48, 2 Y 3.47-3.49, 1 Tm 3.47
Y: 0.3741 0.8749 0.6131  7 Dy 3.45-3.48, 2 Y 3.47-3.49, 1 Tm 3.47
Y: 0.6259 0.1251 0.3869  7 Dy 3.45-3.48, 2 Y 3.47-3.49, 1 Tm 3.47
Y: 0.6259 0.8749 0.8869  7 Dy 3.45-3.48, 2 Y 3.47-3.49, 1 Tm 3.47
Tm: 0.1246 0.3753 0.8876  7 Dy 3.45-3.47, 2 Tm 3.47, 1 Y 3.47
Tm: 0.1246 0.6247 0.3876  7 Dy 3.45-3.47, 2 Tm 3.47, 1 Y 3.47
Tm: 0.8754 0.3753 0.6125  7 Dy 3.45-3.47, 2 Tm 3.47, 1 Y 3.47
Tm: 0.8754 0.6247 0.1124  7 Dy 3.45-3.47, 2 Tm 3.47, 1 Y 3.47

Output
* DOS at the Fermi energy: 30.423 states/eV per cell
* space group: P2/c (13)
* calculated volume: 524 Å³/cell
* crystal system: monoclinic

=====

Which of them is most stable? Easy: #i.